(1)
First-principles (GGA-PBE) data for CsTl3Sb2 after structural relaxation, as listed in Alexandria.

Cell lengths 5.1908, 10.9591, 9.7258 Å; angles 118.91, 90.00, 103.70 degrees
Sites, in units of the cell vectors:
Cs (0.8475, 0.6949, 0.9238)
Cs (0.1525, 0.3051, 0.0762)
Tl (0.3225, 0.6450, 0.5719)
Tl (0.9734, 0.9467, 0.6375)
Tl (0.5969, 0.1939, 0.6732)
Tl (0.4031, 0.8061, 0.3268)
Tl (0.0266, 0.0533, 0.3625)
Tl (0.6775, 0.3550, 0.4281)
Sb (0.4901, 0.9803, 0.8433)
Sb (0.5099, 0.0197, 0.1567)
Sb (0.8118, 0.6236, 0.3566)
Sb (0.1882, 0.3764, 0.6434)

Output
**V**: 38.86 A^3/atom
**Calculated total energy**: -2.8490 eV per atom



(2)
First-principles (GGA-PBE) data for SmTiCd11 after structural relaxation, as listed in Alexandria.

Cell lengths 5.9957, 7.6406, 7.6106 Å; angles 81.08, 66.80, 66.83 degrees
Sites, in units of the cell vectors:
Sm (0.0000, 0.0000, 0.0000)
Ti (0.5000, 0.5000, 0.0000)
Cd (0.2940, 0.2168, 0.2134)
Cd (0.7060, 0.7832, 0.7866)
Cd (0.4926, 0.7832, 0.2134)
Cd (0.5074, 0.2168, 0.7866)
Cd (0.3598, 0.6498, 0.6606)
Cd (0.6402, 0.3502, 0.3394)
Cd (0.9797, 0.3502, 0.6606)
Cd (0.0203, 0.6498, 0.3394)
Cd (0.0000, 0.5000, 0.0000)
Cd (0.5000, 0.0000, 0.5000)
Cd (0.0000, 0.0000, 0.5000)

Output
**V**: 22.66 A^3/atom
**Calculated total energy**: -1.8160 eV per atom
**E_form**: -0.07 eV per atom



(3)
First-principles (GGA-PBE) data for HoMgZn4 after structural relaxation, as listed in Alexandria.

Cell lengths 4.0280, 4.0280, 8.0151 Å; angles 104.55, 104.55, 90.00 degrees
Sites, in units of the cell vectors:
Ho (0.0000, 0.0000, 0.0000)
Mg (0.2500, 0.7500, 0.5000)
Zn (0.6702, 0.1702, 0.3404)
Zn (0.5822, 0.5822, 0.1643)
Zn (0.8298, 0.3298, 0.6596)
Zn (0.4178, 0.4178, 0.8357)

Output
**V**: 20.26 A^3/atom
**Calculated total energy**: -1.9982 eV per atom
**E_form**: -0.12 eV per atom



(4)
First-principles (GGA-PBE) data for Cd3HO3 after structural relaxation, as listed in Alexandria.

Cell lengths 4.6990, 6.7320, 6.7320 Å; angles 120.00, 90.00, 90.00 degrees
Sites, in units of the cell vectors:
Cd (0.7500, 0.7136, 0.6097)
Cd (0.7500, 0.3903, 0.1038)
Cd (0.7500, 0.8962, 0.2864)
Cd (0.2500, 0.2864, 0.3903)
Cd (0.2500, 0.6097, 0.8962)
Cd (0.2500, 0.1038, 0.7136)
H (0.2500, 0.6667, 0.3333)
H (0.7500, 0.3333, 0.6667)
O (0.2500, 0.7244, 0.5854)
O (0.2500, 0.4146, 0.1391)
O (0.2500, 0.8609, 0.2756)
O (0.7500, 0.2756, 0.4146)
O (0.7500, 0.5854, 0.8609)
O (0.7500, 0.1391, 0.7244)

Output
**V**: 13.17 A^3/atom
**Calculated total energy**: -3.5974 eV per atom



(5)
First-principles (GGA-PBE) data for As2IrPt after structural relaxation, as listed in Alexandria.

Cell lengths 4.5406, 4.5406, 4.5406 Å; angles 60.00, 60.00, 60.00 degrees
Sites, in units of the cell vectors:
As (0.0000, 0.0000, 0.0000)
As (0.2500, 0.2500, 0.2500)
Ir (0.5000, 0.5000, 0.5000)
Pt (0.7500, 0.7500, 0.7500)

Output
**V**: 16.55 A^3/atom
**Calculated total energy**: -5.6090 eV per atom
**E_form**: 0.44 eV per atom



(6)
First-principles (GGA-PBE) data for Mg2ScGaSn after structural relaxation, as listed in Alexandria.

Cell lengths 5.2881, 5.3022, 5.2881 Å; angles 90.00, 90.00, 90.00 degrees
Sites, in units of the cell vectors:
Sc (0.5000, 0.5000, 0.5000)
Mg (0.0000, 0.0000, 0.5000)
Mg (0.5000, 0.0000, 0.0000)
Sn (0.0000, 0.0000, 0.0000)
Ga (0.0000, 0.5000, 0.0000)

Output
**V**: 29.65 A^3/atom
**Calculated total energy**: -2.7386 eV per atom
**E_form**: 0.57 eV per atom



(7)
First-principles (GGA-PBE) data for ZrCrIrRh after structural relaxation, as listed in Alexandria.

Cell lengths 4.5155, 4.5155, 4.5155 Å; angles 60.00, 60.00, 60.00 degrees
Site moments in Bohr magnetons follow the coordinates.
Sites, in units of the cell vectors:
Cr (0.7500, 0.7500, 0.7500)  3.14
Ir (0.0000, 0.0000, 0.0000)  0.28
Rh (0.5000, 0.5000, 0.5000)  0.41
Zr (0.2500, 0.2500, 0.2500)  0.02

Output
**V**: 16.28 A^3/atom
**Calculated total energy**: -8.9822 eV per atom
**E_form**: -0.39 eV per atom



(8)
First-principles (GGA-PBE) data for Ta2Pd3Ru3 after structural relaxation, as listed in Alexandria.

Cell lengths 3.9253, 4.0259, 7.6630 Å; angles 90.00, 90.00, 90.00 degrees
Sites, in units of the cell vectors:
Ta (0.0000, 0.0000, 0.2441)
Ta (0.0000, 0.0000, 0.7559)
Pd (0.5000, 0.5000, 0.2492)
Pd (0.5000, 0.5000, 0.7508)
Pd (0.0000, 0.5000, 0.5000)
Ru (0.0000, 0.5000, 0.0000)
Ru (0.5000, 0.0000, 0.5000)
Ru (0.5000, 0.0000, 0.0000)

Output
**V**: 15.14 A^3/atom
**Calculated total energy**: -8.7072 eV per atom
**E_form**: -0.32 eV per atom